Computed, not measured: a PBEsol-optimized structure of Si3GeSb at the SCAN level of DFT. Values from VASP.

Summary:
E_form (uncorrected): 1.636 eV per atom
SG: Pm-3m (221)

Geometry as Quantum ESPRESSO input:
```
&SYSTEM
  ibrav = 0, nat = 5, ntyp = 3
/
ATOMIC_SPECIES
Si 28.09 Si.upf
Ge 72.64 Ge.upf
Sb 121.76 Sb.upf
CELL_PARAMETERS angstrom
5.0558 0.0000 0.0000
0.0000 5.0558 0.0000
0.0000 0.0000 5.0558
ATOMIC_POSITIONS crystal
Si 0.0000 0.0000 0.5000
Si 0.0000 0.5000 0.0000
Si 0.5000 0.0000 0.0000
Ge 0.5000 0.5000 0.5000
Sb 0.0000 0.0000 0.0000
```

***

Computed, not measured: a PBEsol-optimized structure of SnGeSb2 at the SCAN level of DFT. Values from VASP.

Summary:
E_form (uncorrected): 0.308 eV per atom
SG: Fm-3m (225)

Geometry as Quantum ESPRESSO input:
```
&SYSTEM
  ibrav = 0, nat = 4, ntyp = 3
/
ATOMIC_SPECIES
Sn 118.71 Sn.upf
Ge 72.64 Ge.upf
Sb 121.76 Sb.upf
CELL_PARAMETERS angstrom
0.0000 3.6368 3.6368
3.6368 0.0000 3.6368
3.6368 3.6368 0.0000
ATOMIC_POSITIONS crystal
Sn 0.0000 0.0000 0.0000
Ge 0.5000 0.5000 0.5000
Sb 0.2500 0.2500 0.2500
Sb 0.7500 0.7500 0.7500
```

***

Computed, not measured: a PBEsol-optimized structure of TcSn2GeSb at the SCAN level of DFT. Values from VASP.

Summary:
E_form (uncorrected): 1.302 eV per atom
SG: P4/mmm (123)

Geometry as Quantum ESPRESSO input:
```
&SYSTEM
  ibrav = 0, nat = 5, ntyp = 4
/
ATOMIC_SPECIES
Tc 98.00 Tc.upf
Sn 118.71 Sn.upf
Ge 72.64 Ge.upf
Sb 121.76 Sb.upf
CELL_PARAMETERS angstrom
5.1541 0.0000 0.0000
0.0000 5.1541 0.0000
0.0000 0.0000 5.1625
ATOMIC_POSITIONS crystal
Tc 0.0000 0.0000 0.0000
Sn 0.0000 0.5000 0.5000
Sn 0.5000 0.0000 0.5000
Ge 0.5000 0.5000 0.5000
Sb 0.5000 0.5000 0.0000
```

***

Computed, not measured: a PBEsol-optimized structure of Tc2GeSb at the SCAN level of DFT. Values from VASP.

Summary:
E_form (uncorrected): 0.052 eV per atom
SG: Fm-3m (225)

Geometry as Quantum ESPRESSO input:
```
&SYSTEM
  ibrav = 0, nat = 4, ntyp = 3
/
ATOMIC_SPECIES
Tc 98.00 Tc.upf
Ge 72.64 Ge.upf
Sb 121.76 Sb.upf
CELL_PARAMETERS angstrom
0.0000 3.1270 3.1270
3.1270 0.0000 3.1270
3.1270 3.1270 0.0000
ATOMIC_POSITIONS crystal
Tc 0.2500 0.2500 0.2500
Tc 0.7500 0.7500 0.7500
Ge 0.0000 0.0000 0.0000
Sb 0.5000 0.5000 0.5000
```

***

Computed, not measured: a PBEsol-optimized structure of TcGeSb2Te at the SCAN level of DFT. Values from VASP.

Summary:
E_form (uncorrected): 0.692 eV per atom
SG: P4/mmm (123)

Geometry as Quantum ESPRESSO input:
```
&SYSTEM
  ibrav = 0, nat = 5, ntyp = 4
/
ATOMIC_SPECIES
Tc 98.00 Tc.upf
Ge 72.64 Ge.upf
Sb 121.76 Sb.upf
Te 127.60 Te.upf
CELL_PARAMETERS angstrom
5.0257 0.0000 0.0000
0.0000 5.0257 0.0000
0.0000 0.0000 5.2547
ATOMIC_POSITIONS crystal
Tc 0.0000 0.0000 0.0000
Ge 0.5000 0.5000 0.5000
Sb 0.0000 0.5000 0.0000
Sb 0.5000 0.0000 0.0000
Te 0.0000 0.0000 0.5000
```

***

Computed, not measured: a PBEsol-optimized structure of Tc2GeSbW at the SCAN level of DFT. Values from VASP.

Summary:
E_form (uncorrected): 2.467 eV per atom
SG: P4/mmm (123)

Geometry as Quantum ESPRESSO input:
```
&SYSTEM
  ibrav = 0, nat = 5, ntyp = 4
/
ATOMIC_SPECIES
Tc 98.00 Tc.upf
Ge 72.64 Ge.upf
Sb 121.76 Sb.upf
W 183.84 W.upf
CELL_PARAMETERS angstrom
4.7485 0.0000 0.0000
0.0000 4.7485 0.0000
0.0000 0.0000 4.8904
ATOMIC_POSITIONS crystal
Tc 0.0000 0.5000 0.0000
Tc 0.5000 0.0000 0.0000
Ge 0.0000 0.0000 0.5000
Sb 0.0000 0.0000 0.0000
W 0.5000 0.5000 0.5000
```

***

Computed, not measured: a PBEsol-optimized structure of GeSbTe2 at the SCAN level of DFT. Values from VASP.

Summary:
E_form (uncorrected): 0.355 eV per atom
SG: R-3m (166)

Geometry as Quantum ESPRESSO input:
```
&SYSTEM
  ibrav = 0, nat = 4, ntyp = 3
/
ATOMIC_SPECIES
Ge 72.64 Ge.upf
Sb 121.76 Sb.upf
Te 127.60 Te.upf
CELL_PARAMETERS angstrom
1.9935 1.1509 9.4198
-1.9935 1.1509 9.4198
0.0000 -2.3018 9.4198
ATOMIC_POSITIONS crystal
Ge 0.0000 0.0000 0.0000
Sb 0.5000 0.5000 0.5000
Te 0.0986 0.0986 0.0986
Te 0.9014 0.9014 0.9014
```

***

Computed, not measured: a PBEsol-optimized structure of GeSb4Te4 at the SCAN level of DFT. Values from VASP.

Summary:
E_form (uncorrected): -0.060 eV per atom
SG: P-3m1 (164)

Geometry as Quantum ESPRESSO input:
```
&SYSTEM
  ibrav = 0, nat = 9, ntyp = 3
/
ATOMIC_SPECIES
Ge 72.64 Ge.upf
Sb 121.76 Sb.upf
Te 127.60 Te.upf
CELL_PARAMETERS angstrom
4.2687 0.0000 0.0000
-2.1343 3.6968 0.0000
0.0000 0.0000 16.9847
ATOMIC_POSITIONS crystal
Ge 0.0000 0.0000 0.0000
Sb 0.3333 0.6667 0.2129
Sb 0.3333 0.6667 0.5462
Sb 0.6667 0.3333 0.4538
Sb 0.6667 0.3333 0.7871
Te 0.0000 0.0000 0.3138
Te 0.0000 0.0000 0.6862
Te 0.3333 0.6667 0.9031
Te 0.6667 0.3333 0.0969
```

***

Number 1: DOS(E_F) 0.578 states/eV/atom. Number 2: DOS(E_F) 0.686 states/eV/atom. Number 3: DOS(E_F) 0.845 states/eV/atom. Number 4: DOS(E_F) 0.721 states/eV/atom. Number 5: DOS(E_F) 0.868 states/eV/atom. Number 6: DOS(E_F) 0.803 states/eV/atom. Number 7: DOS(E_F) 0.356 states/eV/atom. Number 8: DOS(E_F) 0.063 states/eV/atom.